No. 1
DFT (GGA-PBE) results for crystalline InHgRu3 at its relaxed geometry.

a b c (Å): 4.894 4.894 4.894
angles (deg): 90.00 90.00 90.00
Atoms (fractional coordinates):
In: 0.000 0.000 0.000
Hg: 0.500 0.500 0.500
Ru: 0.000 0.000 0.500
Ru: 0.000 0.500 0.000
Ru: 0.500 0.000 0.000

Computed properties:
**DFT formation energy**: 1.8882 eV per atom
**Space-group type**: Pm-3m
**Energy relative to the lowest polymorph listed for this composition**: 0 meV/atom
**Total moment**: 4.99 μB/f.u.

---

No. 2
DFT (GGA-PBE) results for crystalline AcTb2DyHo5 at its relaxed geometry.

a b c (Å): 9.819 9.819 9.819
angles (deg): 125.89 125.89 80.07
Atoms (fractional coordinates):
Ac: 0.250 0.250 0.000
Ac: 0.750 0.750 0.000
Tb: 0.114 0.614 0.727
Tb: 0.386 0.114 0.500
Tb: 0.614 0.886 0.500
Tb: 0.886 0.386 0.273
Dy: 0.250 0.750 0.500
Dy: 0.750 0.250 0.500
Ho: 0.000 0.000 0.000
Ho: 0.075 0.168 0.500
Ho: 0.168 0.668 0.092
Ho: 0.332 0.425 0.500
Ho: 0.425 0.925 0.092
Ho: 0.500 0.500 0.000
Ho: 0.575 0.075 0.908
Ho: 0.668 0.575 0.500
Ho: 0.832 0.332 0.908
Ho: 0.925 0.832 0.500

Computed properties:
**DFT formation energy**: 0.2783 eV per atom
**Space-group type**: I4/mcm
**Total moment**: 0.00 μB/f.u.

---

No. 3
DFT (GGA-PBE) results for crystalline Sm3GeSCl at its relaxed geometry.

a b c (Å): 7.533 4.012 10.794
angles (deg): 90.00 107.68 90.00
Atoms (fractional coordinates):
Sm: 0.173 0.250 0.148
Sm: 0.202 0.250 0.491
Sm: 0.309 0.750 0.838
Sm: 0.691 0.250 0.162
Sm: 0.798 0.750 0.509
Sm: 0.827 0.750 0.852
Ge: 0.007 0.250 0.700
Ge: 0.993 0.750 0.300
S: 0.409 0.750 0.108
S: 0.591 0.250 0.892
Cl: 0.473 0.750 0.623
Cl: 0.527 0.250 0.377

Computed properties:
**Space-group type**: P2_1/m
**E_form (uncorrected)**: -822 kJ/mol of formula units
**Total moment**: 0.00 μB/f.u.

---

No. 4
DFT (GGA-PBE) results for crystalline Tb2PrY at its relaxed geometry.

a b c (Å): 5.731 6.116 8.701
angles (deg): 109.79 109.22 90.05
Atoms (fractional coordinates):
Tb: 0.070 0.278 0.139
Tb: 0.306 0.485 0.612
Tb: 0.694 0.515 0.388
Tb: 0.930 0.722 0.861
Pr: 0.429 0.133 0.859
Pr: 0.571 0.867 0.141
Y: 0.193 0.875 0.386
Y: 0.807 0.125 0.614

Computed properties:
**DFT formation energy**: 0.0802 eV per atom
**Space-group type**: P-1
**Energy relative to the lowest polymorph listed for this composition**: 73 meV/atom
**Total moment**: 0.00 μB/f.u.

---

No. 5
DFT (GGA-PBE) results for crystalline TeMoBr2 at its relaxed geometry.

a b c (Å): 5.167 5.167 5.167
angles (deg): 60.00 60.00 60.00
Atoms (fractional coordinates):
Te: 0.000 0.000 0.000
Mo: 0.500 0.500 0.500
Br: 0.250 0.250 0.250
Br: 0.750 0.750 0.750

Computed properties:
**Space-group type**: Fm-3m
**Energy relative to the lowest polymorph listed for this composition**: 1075 meV/atom
**E_form (uncorrected)**: 334 kJ/mol of formula units
**Total moment**: 2.16 μB/f.u.

---

No. 6
DFT (GGA-PBE) results for crystalline Y5Sc2Bi5 at its relaxed geometry.

a b c (Å): 7.588 7.588 12.547
angles (deg): 111.72 111.72 33.78
Atoms (fractional coordinates):
Y: 0.000 0.000 0.000
Y: 0.164 0.164 0.531
Y: 0.221 0.221 0.843
Y: 0.779 0.779 0.157
Y: 0.836 0.836 0.469
Sc: 0.443 0.443 0.702
Sc: 0.557 0.557 0.298
Bi: 0.189 0.189 0.279
Bi: 0.389 0.389 0.081
Bi: 0.500 0.500 0.500
Bi: 0.611 0.611 0.919
Bi: 0.811 0.811 0.721

Computed properties:
**DFT formation energy**: -0.6074 eV per atom
**Space-group type**: C2/m
**Total moment**: 0.00 μB/f.u.

---

No. 7
DFT (GGA-PBE) results for crystalline KSbPt2 at its relaxed geometry.

a b c (Å): 4.888 4.888 4.888
angles (deg): 60.00 60.00 60.00
Atoms (fractional coordinates):
K: 0.000 0.000 0.000
Sb: 0.750 0.750 0.750
Pt: 0.250 0.250 0.250
Pt: 0.500 0.500 0.500

Computed properties:
**Space-group type**: F-43m
**Energy relative to the lowest polymorph listed for this composition**: 616 meV/atom
**E_form (uncorrected)**: 106 kJ/mol of formula units
**Total moment**: 0.00 μB/f.u.

---

No. 8
DFT (GGA-PBE) results for crystalline Zn6Ag3Pd at its relaxed geometry.

a b c (Å): 7.465 4.505 9.972
angles (deg): 90.00 111.46 90.00
Atoms (fractional coordinates):
Zn: 0.002 0.250 0.167
Zn: 0.003 0.750 0.323
Zn: 0.198 0.750 0.141
Zn: 0.224 0.250 0.472
Zn: 0.391 0.750 0.929
Zn: 0.415 0.250 0.286
Zn: 0.585 0.750 0.714
Zn: 0.609 0.250 0.071
Zn: 0.776 0.750 0.528
Zn: 0.802 0.250 0.859
Zn: 0.997 0.250 0.677
Zn: 0.998 0.750 0.833
Ag: 0.173 0.750 0.621
Ag: 0.208 0.250 0.981
Ag: 0.407 0.250 0.773
Ag: 0.593 0.750 0.227
Ag: 0.792 0.750 0.019
Ag: 0.827 0.250 0.379
Pd: 0.386 0.750 0.425
Pd: 0.614 0.250 0.575

Computed properties:
**DFT formation energy**: -0.1256 eV per atom
**Space-group type**: P2_1/m
**Energy relative to the lowest polymorph listed for this composition**: 11 meV/atom
**Total moment**: 0.00 μB/f.u.

---

No. 9
DFT (GGA-PBE) results for crystalline Ba2Pd3Pb at its relaxed geometry.

a b c (Å): 9.374 9.364 6.612
angles (deg): 69.42 69.26 41.32
Atoms (fractional coordinates):
Ba: 0.240 0.760 0.760
Ba: 0.250 0.250 0.250
Ba: 0.750 0.750 0.750
Ba: 0.760 0.240 0.240
Pd: 0.165 0.670 0.330
Pd: 0.167 0.167 0.833
Pd: 0.330 0.835 0.165
Pd: 0.670 0.165 0.835
Pd: 0.833 0.833 0.167
Pd: 0.835 0.330 0.670
Pb: 0.336 0.336 0.664
Pb: 0.664 0.664 0.336

Computed properties:
**DFT formation energy**: -0.4508 eV per atom
**Space-group type**: Fmmm
**Total moment**: 0.00 μB/f.u.

---

No. 10
DFT (GGA-PBE) results for crystalline KTe2Pb at its relaxed geometry.

a b c (Å): 5.712 5.712 5.712
angles (deg): 60.00 60.00 60.00
Atoms (fractional coordinates):
K: 0.000 0.000 0.000
Te: 0.500 0.500 0.500
Te: 0.750 0.750 0.750
Pb: 0.250 0.250 0.250

Computed properties:
**Space-group type**: F-43m
**E_form (uncorrected)**: -54 kJ/mol of formula units
**Total moment**: 0.00 μB/f.u.

---

No. 11
DFT (GGA-PBE) results for crystalline Mg4HIr4 at its relaxed geometry.

a b c (Å): 5.225 5.529 5.532
angles (deg): 64.00 80.98 63.09
Atoms (fractional coordinates):
Mg: 0.221 0.045 0.143
Mg: 0.223 0.531 0.655
Mg: 0.777 0.469 0.345
Mg: 0.779 0.955 0.857
H: 0.000 0.000 0.500
Ir: 0.277 0.019 0.659
Ir: 0.284 0.521 0.163
Ir: 0.716 0.479 0.837
Ir: 0.723 0.981 0.341

Computed properties:
**Space-group type**: P-1
**Energy relative to the lowest polymorph listed for this composition**: 20 meV/atom
**Total moment**: 0.00 μB/f.u.

---

No. 12
DFT (GGA-PBE) results for crystalline Th2Pa2Te7 at its relaxed geometry.

a b c (Å): 9.704 9.704 9.704
angles (deg): 154.34 66.96 119.34
Atoms (fractional coordinates):
Th: 0.239 0.000 0.239
Th: 0.761 0.000 0.761
Pa: 0.334 0.834 0.500
Pa: 0.774 0.774 0.000
Te: 0.030 0.707 0.323
Te: 0.090 0.090 0.000
Te: 0.384 0.707 0.677
Te: 0.390 0.499 0.891
Te: 0.608 0.499 0.109
Te: 0.671 0.312 0.360
Te: 0.952 0.312 0.640

Computed properties:
**Space-group type**: Imm2
**Energy relative to the lowest polymorph listed for this composition**: 0 meV/atom
**E_form (uncorrected)**: -1071 kJ/mol of formula units
**Total moment**: 3.00 μB/f.u.

---

No. 13
DFT (GGA-PBE) results for crystalline Tb3Y6Tm2Zr at its relaxed geometry.

a b c (Å): 6.093 6.093 11.651
angles (deg): 94.98 94.98 119.92
Atoms (fractional coordinates):
Tb: 0.000 0.000 0.000
Tb: 0.333 0.667 0.000
Tb: 0.667 0.333 0.000
Y: 0.092 0.419 0.257
Y: 0.254 0.254 0.743
Y: 0.419 0.092 0.257
Y: 0.581 0.908 0.743
Y: 0.746 0.746 0.257
Y: 0.908 0.581 0.743
Tm: 0.167 0.833 0.500
Tm: 0.833 0.167 0.500
Zr: 0.500 0.500 0.500

Computed properties:
**DFT formation energy**: 0.0478 eV per atom
**Space-group type**: C2/m
**Total moment**: 0.00 μB/f.u.

---

No. 14
DFT (GGA-PBE) results for crystalline BaCaTe2 at its relaxed geometry.

a b c (Å): 4.807 4.807 6.793
angles (deg): 90.00 90.00 90.00
Atoms (fractional coordinates):
Ba: 0.000 0.000 0.000
Ca: 0.500 0.500 0.500
Te: 0.000 0.000 0.500
Te: 0.500 0.500 0.000

Computed properties:
**Space-group type**: P4/mmm
**Energy relative to the lowest polymorph listed for this composition**: 60 meV/atom
**E_form (uncorrected)**: -631 kJ/mol of formula units
**Total moment**: 0.00 μB/f.u.

---

No. 15
DFT (GGA-PBE) results for crystalline Sr12LiCa7 at its relaxed geometry.

a b c (Å): 12.144 12.144 12.144
angles (deg): 109.47 109.47 109.47
Atoms (fractional coordinates):
Sr: 0.103 0.753 0.350
Sr: 0.247 0.350 0.596
Sr: 0.247 0.650 0.897
Sr: 0.350 0.103 0.753
Sr: 0.350 0.596 0.247
Sr: 0.404 0.753 0.650
Sr: 0.596 0.247 0.350
Sr: 0.650 0.404 0.753
Sr: 0.650 0.897 0.247
Sr: 0.753 0.350 0.103
Sr: 0.753 0.650 0.404
Sr: 0.897 0.247 0.650
Li: 0.000 0.000 0.000
Ca: 0.000 0.000 0.500
Ca: 0.000 0.500 0.000
Ca: 0.000 0.500 0.500
Ca: 0.500 0.000 0.000
Ca: 0.500 0.000 0.500
Ca: 0.500 0.500 0.000
Ca: 0.500 0.500 0.500

Computed properties:
**DFT formation energy**: 0.4855 eV per atom
**Space-group type**: Im-3
**Energy relative to the lowest polymorph listed for this composition**: 443 meV/atom
**Total moment**: 1.73 μB/f.u.

---

No. 16
DFT (GGA-PBE) results for crystalline Hf2InRu at its relaxed geometry.

a b c (Å): 3.153 3.153 7.924
angles (deg): 90.00 90.00 90.00
Atoms (fractional coordinates):
Hf: 0.000 0.000 0.211
Hf: 0.000 0.000 0.789
In: 0.500 0.500 0.500
Ru: 0.500 0.500 0.000

Computed properties:
**DFT formation energy**: -0.4099 eV per atom
**Space-group type**: P4/mmm
**Total moment**: 0.00 μB/f.u.

---

No. 17
DFT (GGA-PBE) results for crystalline CsCd2O2 at its relaxed geometry.

a b c (Å): 7.347 7.347 7.347
angles (deg): 147.18 147.18 47.09
Atoms (fractional coordinates):
Cs: 0.000 0.000 0.000
Cd: 0.250 0.750 0.500
Cd: 0.750 0.250 0.500
O: 0.337 0.337 0.000
O: 0.663 0.663 0.000

Computed properties:
**Space-group type**: I4/mmm
**Energy relative to the lowest polymorph listed for this composition**: 17 meV/atom
**E_form (uncorrected)**: -384 kJ/mol of formula units
**Total moment**: 0.00 μB/f.u.

---

No. 18
DFT (GGA-PBE) results for crystalline Pm2Sn3 at its relaxed geometry.

a b c (Å): 8.012 8.012 4.510
angles (deg): 90.00 90.00 90.00
Atoms (fractional coordinates):
Pm: 0.176 0.324 0.000
Pm: 0.324 0.824 0.000
Pm: 0.676 0.176 0.000
Pm: 0.824 0.676 0.000
Sn: 0.000 0.000 0.500
Sn: 0.128 0.628 0.500
Sn: 0.372 0.128 0.500
Sn: 0.500 0.500 0.500
Sn: 0.628 0.872 0.500
Sn: 0.872 0.372 0.500

Computed properties:
**DFT formation energy**: -0.6395 eV per atom
**Space-group type**: P4/mbm
**Energy relative to the lowest polymorph listed for this composition**: 24 meV/atom
**Total moment**: 0.00 μB/f.u.

---

No. 19
DFT (GGA-PBE) results for crystalline CsCd2As2 at its relaxed geometry.

a b c (Å): 8.019 8.019 8.019
angles (deg): 147.14 147.14 47.16
Atoms (fractional coordinates):
Cs: 0.000 0.000 0.000
Cd: 0.250 0.750 0.500
Cd: 0.750 0.250 0.500
As: 0.360 0.360 0.000
As: 0.640 0.640 0.000

Computed properties:
**DFT formation energy**: -0.2666 eV per atom
**Space-group type**: I4/mmm
**Energy relative to the lowest polymorph listed for this composition**: 0 meV/atom
**Total moment**: 0.00 μB/f.u.

---

No. 20
DFT (GGA-PBE) results for crystalline LiInPt2Br at its relaxed geometry.

a b c (Å): 4.573 4.573 4.493
angles (deg): 90.00 90.00 90.00
Atoms (fractional coordinates):
Li: 0.000 0.000 0.000
In: 0.500 0.500 0.500
Pt: 0.000 0.500 0.000
Pt: 0.500 0.000 0.000
Br: 0.000 0.000 0.500

Computed properties:
**Space-group type**: P4/mmm
**Energy relative to the lowest polymorph listed for this composition**: 0 meV/atom
**E_form (uncorrected)**: 138 kJ/mol of formula units
**Total moment**: 0.00 μB/f.u.

---

No. 21
DFT (GGA-PBE) results for crystalline BaSr2Ca2 at its relaxed geometry.

a b c (Å): 10.125 10.125 10.125
angles (deg): 148.71 148.71 44.84
Atoms (fractional coordinates):
Ba: 0.000 0.000 0.000
Sr: 0.250 0.750 0.500
Sr: 0.750 0.250 0.500
Ca: 0.404 0.404 0.000
Ca: 0.596 0.596 0.000

Computed properties:
**DFT formation energy**: 0.2088 eV per atom
**Space-group type**: I4/mmm
**Energy relative to the lowest polymorph listed for this composition**: 125 meV/atom
**Total moment**: 0.00 μB/f.u.

---

No. 22
DFT (GGA-PBE) results for crystalline Nd13Sc2 at its relaxed geometry.

a b c (Å): 6.724 9.113 9.132
angles (deg): 66.18 82.15 82.08
Atoms (fractional coordinates):
Nd: 0.000 0.000 0.000
Nd: 0.100 0.441 0.756
Nd: 0.194 0.191 0.211
Nd: 0.296 0.628 0.973
Nd: 0.296 0.964 0.635
Nd: 0.397 0.395 0.408
Nd: 0.496 0.830 0.169
Nd: 0.504 0.170 0.831
Nd: 0.603 0.605 0.592
Nd: 0.704 0.036 0.365
Nd: 0.704 0.372 0.027
Nd: 0.806 0.809 0.789
Nd: 0.900 0.559 0.244
Sc: 0.100 0.769 0.429
Sc: 0.900 0.231 0.571

Computed properties:
**DFT formation energy**: 0.0666 eV per atom
**Space-group type**: P-1
**Total moment**: 0.00 μB/f.u.